This record from Alexandria describes crystalline CaTmSiAg at its relaxed geometry. The functional is GGA-PBE.

## Properties
Symmetry = F-43m (216)
Magnetic moment = 0.000 μB/f.u.
Calculated volume = 91 Å³/cell
Raw formation energy = -1.6 eV per formula unit

a b c (Å): 5.0417 5.0417 5.0417
angles (deg): 60.00 60.00 60.00
Element x y z (fractional)
Ca: 0.0000 0.0000 0.0000
Tm: 0.5000 0.5000 0.5000
Si: 0.2500 0.2500 0.2500
Ag: 0.7500 0.7500 0.7500